Compound: ScHRh3
Source: Alexandria via LeMat-Bulk
Functional: GGA-PBE
Structure: relaxed

Computed properties:
* theoretical density: 9.33 g cm⁻³

a b c (Å): 9.7006 5.7411 4.5363
angles (deg): 90.00 91.42 90.00
Space group C2 (No. 5)
Symmetry-distinct sites (fractional):
Sc  0.1564  0.0000  0.2831 (multiplicity 4)
H  0.2499  0.2520  0.0026 (multiplicity 4)
Rh  0.0828  0.2605  0.7517 (multiplicity 4)
Rh  0.0828  0.7394  0.7518 (multiplicity 4)
Rh  0.1620  0.5000  0.2536 (multiplicity 4)


Compound: Ca5Ac4La2
Source: Alexandria via LeMat-Bulk
Functional: GGA-PBE
Structure: relaxed

Computed properties:
* energy relative to the elements: 95 meV per atom
* theoretical density: 4.94 g cm⁻³

a b c (Å): 3.8155 9.8705 12.8765
angles (deg): 80.82 81.50 78.86
Space group P-1 (No. 2)
Symmetry-distinct sites (fractional):
Ca  0.0000  0.0000  0.0000 (multiplicity 1)
Ca  0.2330  0.7358  0.7982 (multiplicity 2)
Ca  0.4129  0.9089  0.2652 (multiplicity 2)
Ac  0.1760  0.1759  0.4729 (multiplicity 2)
Ac  0.3535  0.3661  0.9263 (multiplicity 2)
La  0.0535  0.5489  0.3455 (multiplicity 2)


Number 1: total DFT energy (no corrections) -6.8690 eV per atom. Number 2: total DFT energy (no corrections) -3.2044 eV per atom.